1.
An optimized crystal structure of BaMnPb2Cl8, computed with GGA-PBE.

Calculated values
electronic total energy: -50.62 eV for the cell shown
D(E_F): 0.000 states/eV/atom
uncorrected formation energy: -1445 meV/atom

Cell: 6.6986 6.5330 8.7632 Å, 90.00 90.00 88.97°
With the nearest neighbours (Å) after each atom.
Atoms (fractional coordinates):
Cl1 0.8437 0.2185 0.2089  1 Mn 2.54
Cl2 0.6376 0.7251 0.5000  2 Pb 2.94, 1 Ba 3.05
Cl3 0.8437 0.2186 0.7911  1 Mn 2.54
Cl4 0.1563 0.7814 0.2089  1 Mn 2.54
Cl5 0.3624 0.2749 0.5000  2 Pb 2.94, 1 Ba 3.05
Cl6 0.1563 0.7815 0.7911  1 Mn 2.54
Cl7 0.6902 0.7543 0.0000  1 Mn 2.65, 2 Pb 2.92
Cl8 0.3098 0.2457 0.0000  1 Mn 2.65, 2 Pb 2.92
Pb1 0.5000 0.5000 0.2307  6 Cl 2.92-2.94
Pb2 0.5000 0.5000 0.7693  6 Cl 2.92-2.94
Ba1 0.0000 0.0000 0.5000  6 Cl 3.05-3.10
Mn1 0.0000 0.0000 0.0000  6 Cl 2.54-2.65

***

2.
An optimized crystal structure of Cr2CuPd9, computed with GGA-PBE.

Calculated values
electronic total energy: -70.89 eV for the cell shown
energy of formation from the pure elements: -0.068 eV/atom
D(E_F): 1.812 states/eV/atom

Cell: 3.9036 3.9036 11.7373 Å, 90.00 90.00 90.00°
With the nearest neighbours (Å) after each atom.
Atoms (fractional coordinates):
Pd1 0.0000 0.5000 0.5000  8 Pd 2.76-2.77, 4 Cr 2.77
Pd2 0.5000 0.0000 0.5000  8 Pd 2.76-2.77, 4 Cr 2.77
Pd3 0.5000 0.5000 0.0000  4 Cu 2.76, 8 Pd 2.76
Pd4 0.0000 0.5000 0.1664  2 Cr 2.76, 8 Pd 2.76, 2 Cu 2.76
Cr1 0.0000 0.0000 0.3321  12 Pd 2.76-2.77
Pd5 0.5000 0.5000 0.6670  4 Cr 2.76, 8 Pd 2.76-2.77
Cu1 0.0000 0.0000 0.0000  12 Pd 2.76
Pd6 0.5000 0.0000 0.8336  2 Cr 2.76, 8 Pd 2.76, 2 Cu 2.76
Pd7 0.5000 0.0000 0.1664  2 Cr 2.76, 8 Pd 2.76, 2 Cu 2.76
Pd8 0.0000 0.5000 0.8336  2 Cr 2.76, 8 Pd 2.76, 2 Cu 2.76
Cr2 0.0000 0.0000 0.6679  12 Pd 2.76-2.77
Pd9 0.5000 0.5000 0.3330  4 Cr 2.76, 8 Pd 2.76-2.77

***

3.
An optimized crystal structure of CaLa3I, computed with GGA-PBE.

Calculated values
electronic total energy: -18.89 eV for the cell shown
D(E_F): 1.275 states/eV/atom
uncorrected formation energy: -110 meV/atom

Cell: 6.0405 6.0405 6.0405 Å, 90.00 90.00 90.00°
With the nearest neighbours (Å) after each atom.
Atoms (fractional coordinates):
La1 0.0000 0.5000 0.0000  2 I 3.02
I1 0.0000 0.0000 0.0000  6 La 3.02
La2 0.5000 0.0000 0.0000  2 I 3.02
Ca1 0.5000 0.5000 0.5000  12 La 4.27
La3 0.0000 0.0000 0.5000  2 I 3.02

***

4.
An optimized crystal structure of LaHgW2, computed with GGA-PBE.

Calculated values
electronic total energy: -27.56 eV for the cell shown
energy of formation from the pure elements: 0.895 eV/atom
D(E_F): 0.935 states/eV/atom

Cell: 3.6560 3.6560 6.8382 Å, 90.00 90.00 90.00°
With the nearest neighbours (Å) after each atom.
Atoms (fractional coordinates):
W1 0.0000 0.0000 0.4244  1 W 2.39
La1 0.5000 0.5000 0.7500  8 W 3.41, 2 Hg 3.42, 4 La 3.66
W2 0.0000 0.0000 0.0756  1 W 2.39
Hg1 0.5000 0.5000 0.2500  8 W 2.85

***

5.
An optimized crystal structure of Te4RuAu, computed with GGA-PBE.

Calculated values
electronic total energy: -18.33 eV for the cell shown
D(E_F): 1.710 states/eV/atom
uncorrected formation energy: 1132 meV/atom

Cell: 6.1881 6.1881 6.1881 Å, 60.00 60.00 60.00°
With the nearest neighbours (Å) after each atom.
Atoms (fractional coordinates):
Ru1 0.0000 0.0000 0.0000  12 Te 3.63, 4 Au 3.79
Te1 0.3753 0.3753 0.3753  6 Te 3.09-3.10
Te2 0.3753 0.3753 0.8742  6 Te 3.09-3.10
Te3 0.8742 0.3753 0.3753  6 Te 3.09-3.10
Au1 0.7500 0.7500 0.7500  12 Te 3.63, 4 Ru 3.79
Te4 0.3753 0.8742 0.3753  6 Te 3.09-3.10

***

6.
An optimized crystal structure of Ca2FePd2, computed with GGA-PBE.

Calculated values
electronic total energy: -48.52 eV for the cell shown
energy of formation from the pure elements: -0.282 eV/atom
D(E_F): 1.158 states/eV/atom

Cell: 6.8634 6.8634 4.4674 Å, 90.00 90.00 90.00°
With the nearest neighbours (Å) after each atom.
Atoms (fractional coordinates):
Pd1 0.8593 0.6407 0.0000  2 Fe 2.65, 1 Pd 2.73, 2 Ca 2.87
Pd2 0.3593 0.8593 0.0000  2 Fe 2.65, 1 Pd 2.73, 2 Ca 2.87
Ca1 0.1737 0.6737 0.5000  6 Pd 2.87-3.11
Fe1 0.0000 0.0000 0.0000  4 Pd 2.65
Ca2 0.3263 0.1737 0.5000  6 Pd 2.87-3.11
Fe2 0.5000 0.5000 0.0000  4 Pd 2.65
Pd3 0.6407 0.1407 0.0000  2 Fe 2.65, 1 Pd 2.73, 2 Ca 2.87
Ca3 0.6737 0.8263 0.5000  6 Pd 2.87-3.11
Ca4 0.8263 0.3263 0.5000  6 Pd 2.87-3.11
Pd4 0.1407 0.3593 0.0000  2 Fe 2.65, 1 Pd 2.73, 2 Ca 2.87

***

7.
An optimized crystal structure of K2Hg, computed with GGA-PBE.

Calculated values
electronic total energy: -4.38 eV for the cell shown
energy of formation from the pure elements: 0.102 eV/atom
D(E_F): 0.909 states/eV/atom

Cell: 7.9130 7.9130 7.9130 Å, 60.00 60.00 60.00°
With the nearest neighbours (Å) after each atom.
Atoms (fractional coordinates):
K1 0.1250 0.6250 0.6250  6 K 3.96
Hg1 0.2500 0.2500 0.2500  12 K 4.64, 4 Hg 4.85
K2 0.6250 0.1250 0.6250  6 K 3.96
Hg2 0.0000 0.0000 0.0000  12 K 4.64, 4 Hg 4.85
K3 0.6250 0.6250 0.1250  6 K 3.96
K4 0.6250 0.6250 0.6250  6 K 3.96

***

8.
An optimized crystal structure of In3IO, computed with GGA-PBE.

Calculated values
electronic total energy: -10.79 eV for the cell shown
D(E_F): 1.960 states/eV/atom
uncorrected formation energy: 786 meV/atom

Cell: 6.3864 6.3864 6.3864 Å, 90.00 90.00 90.00°
With the nearest neighbours (Å) after each atom.
Atoms (fractional coordinates):
In1 0.0000 0.0000 0.5000  2 I 3.19
In2 0.0000 0.5000 0.0000  2 I 3.19
In3 0.5000 0.0000 0.0000  2 I 3.19
I1 0.0000 0.0000 0.0000  6 In 3.19
O1 0.5000 0.5000 0.5000  12 In 4.52

***

9.
An optimized crystal structure of ZrTi2SnC, computed with GGA-PBE.

Calculated values
electronic total energy: -40.47 eV for the cell shown
energy of formation from the pure elements: -0.582 eV/atom
D(E_F): 0.572 states/eV/atom

Cell: 4.2227 4.2227 4.6668 Å, 90.00 90.00 90.00°
With the nearest neighbours (Å) after each atom.
Atoms (fractional coordinates):
C1 0.0000 0.0000 0.0000  4 Ti 2.11, 2 Zr 2.33
Zr1 0.0000 0.0000 0.5000  2 C 2.33
Ti1 0.5000 0.0000 0.0000  2 C 2.11
Ti2 0.0000 0.5000 0.0000  2 C 2.11
Sn1 0.5000 0.5000 0.5000  4 Zr 2.99, 8 Ti 3.15

***

10.
An optimized crystal structure of La5PmSmTm2, computed with GGA-PBE.

Calculated values
electronic total energy: -83.58 eV for the cell shown
energy of formation from the pure elements: 0.140 eV/atom
D(E_F): 1.615 states/eV/atom

Cell: 5.7349 10.7729 10.7795 Å, 90.00 90.00 105.44°
With the nearest neighbours (Å) after each atom.
Atoms (fractional coordinates):
La1 0.6148 0.2296 0.5222  6 La 3.63-3.94, 4 Tm 3.68-3.71, 1 Pm 3.88
La2 0.2791 0.5582 0.3167  1 Sm 3.09, 1 Tm 3.41
La3 0.4837 0.9674 0.7446  2 Sm 3.23-3.45, 2 Tm 3.59
La4 0.5163 0.0326 0.2446  2 Sm 3.23-3.45, 2 Tm 3.59
Tm1 0.8864 0.7728 0.2400  1 Pm 3.43, 7 La 3.61-3.78, 2 Sm 3.75
La5 0.0151 0.0303 0.0156  2 Sm 3.33, 3 Tm 3.51-3.61
Sm1 0.5917 0.1835 0.9595  5 La 3.09-3.45
Pm1 0.1987 0.3974 0.0127  2 Tm 3.43-3.63, 6 La 3.54-3.81, 2 Sm 3.67
Tm2 0.1150 0.2300 0.3083  9 La 3.41-3.78, 1 Pm 3.63
La6 0.9849 0.9697 0.5156  2 Sm 3.33, 3 Tm 3.51-3.61
La7 0.3852 0.7704 0.0222  6 La 3.63-3.94, 4 Tm 3.68-3.71, 1 Pm 3.88
La8 0.7055 0.4111 0.2043  2 La 3.47, 3 Pm 3.54-3.87, 1 Sm 3.54, 3 Tm 3.61-3.78
La9 0.2945 0.5889 0.7043  2 La 3.47, 3 Pm 3.54-3.87, 1 Sm 3.54, 3 Tm 3.61-3.78
Pm2 0.8013 0.6026 0.5127  2 Tm 3.43-3.63, 6 La 3.54-3.81, 2 Sm 3.67
Tm3 0.8850 0.7700 0.8083  9 La 3.41-3.78, 1 Pm 3.63
La10 0.7209 0.4418 0.8167  1 Sm 3.09, 1 Tm 3.41
Tm4 0.1136 0.2272 0.7400  1 Pm 3.43, 7 La 3.61-3.78, 2 Sm 3.75
Sm2 0.4083 0.8165 0.4595  5 La 3.09-3.45

***

11.
An optimized crystal structure of Rb2Tl3CdI6, computed with GGA-PBE.

Calculated values
electronic total energy: -29.14 eV for the cell shown
D(E_F): 0.372 states/eV/atom
uncorrected formation energy: -824 meV/atom

Cell: 8.7419 8.7419 8.7476 Å, 99.63 99.63 119.89°
With the nearest neighbours (Å) after each atom.
Atoms (fractional coordinates):
Tl1 0.1731 0.8269 0.5000  6 I 3.51-3.67
Cd1 0.0000 0.0000 0.0000  6 I 3.40-3.46
Tl2 0.8269 0.1731 0.5000  6 I 3.51-3.67
I1 0.2265 0.2265 0.7432  1 Cd 3.46, 3 Tl 3.54-3.70, 2 Rb 3.66
I2 0.9191 0.6065 0.7531  1 Cd 3.40, 3 Tl 3.51-3.67, 2 Rb 3.65
I3 0.7735 0.7735 0.2568  1 Cd 3.46, 3 Tl 3.54-3.70, 2 Rb 3.66
I4 0.6065 0.9191 0.7531  1 Cd 3.40, 3 Tl 3.51-3.67, 2 Rb 3.65
I5 0.3935 0.0809 0.2469  1 Cd 3.40, 3 Tl 3.51-3.67, 2 Rb 3.65
I6 0.0809 0.3935 0.2469  1 Cd 3.40, 3 Tl 3.51-3.67, 2 Rb 3.65
Rb1 0.6643 0.3357 0.0000  6 I 3.65-3.66
Tl3 0.5000 0.5000 0.5000  6 I 3.52-3.70
Rb2 0.3357 0.6643 0.0000  6 I 3.65-3.66

***

12.
An optimized crystal structure of HfVBi, computed with GGA-PBE.

Calculated values
electronic total energy: -46.03 eV for the cell shown
energy of formation from the pure elements: -0.020 eV/atom
D(E_F): 1.335 states/eV/atom

Cell: 3.2027 3.2027 14.2602 Å, 96.45 96.45 90.00°
With the nearest neighbours (Å) after each atom.
Atoms (fractional coordinates):
V1 0.7284 0.7284 0.4569  4 V 2.57
Hf1 0.1642 0.1642 0.3284  5 V 2.90-3.02, 4 Hf 3.20
Hf2 0.8358 0.8358 0.6716  5 V 2.90-3.02, 4 Hf 3.20
Bi1 0.4212 0.4212 0.8424  4 Bi 3.20, 4 Hf 3.30
Bi2 0.5788 0.5788 0.1576  4 Bi 3.20, 4 Hf 3.30
V2 0.2716 0.2716 0.5431  4 V 2.57

***

13.
An optimized crystal structure of Sr2TcBPt, computed with GGA-PBE.

Calculated values
electronic total energy: -23.69 eV for the cell shown
energy of formation from the pure elements: 0.551 eV/atom
D(E_F): 0.716 states/eV/atom

Cell: 5.5936 3.9692 5.5936 Å, 90.00 90.00 90.00°
With the nearest neighbours (Å) after each atom.
Atoms (fractional coordinates):
B1 0.0000 0.5000 0.0000  2 Tc 1.98
Tc1 0.0000 0.0000 0.0000  2 B 1.98
Pt1 0.5000 0.5000 0.5000  8 Sr 3.43
Sr1 0.5000 0.0000 0.0000  2 Tc 2.80
Sr2 0.0000 0.0000 0.5000  2 Tc 2.80

***

14.
An optimized crystal structure of MnTl6Te4, computed with GGA-PBE.

Calculated values
electronic total energy: -77.69 eV for the cell shown
uncorrected formation energy: -265 meV/atom

Cell: 7.6465 11.0627 11.0627 Å, 120.00 90.00 90.00°
With the nearest neighbours (Å) after each atom.
Atoms (fractional coordinates):
Mn1 0.7631 0.3333 0.6667  4 Te 2.74-2.76
Tl1 0.6348 0.5244 0.0489  5 Te 3.38-3.72
Tl2 0.9405 0.3112 0.1556  4 Te 3.34-3.47
Mn2 0.2631 0.6667 0.3333  4 Te 2.74-2.76
Te1 0.4043 0.3333 0.6667  1 Mn 2.74
Te2 0.3663 0.8045 0.1955  1 Mn 2.76
Te3 0.8663 0.1955 0.8045  1 Mn 2.76
Tl3 0.4405 0.1556 0.3112  4 Te 3.34-3.47
Tl4 0.4405 0.6888 0.8444  4 Te 3.34-3.47
Tl5 0.6348 0.9511 0.4756  5 Te 3.38-3.72
Tl6 0.9405 0.8444 0.1556  4 Te 3.34-3.47
Tl7 0.1348 0.4756 0.5244  5 Te 3.38-3.72
Te4 0.3663 0.3909 0.1955  1 Mn 2.76
Te5 0.3663 0.8045 0.6091  1 Mn 2.76
Te6 0.8663 0.6091 0.8045  1 Mn 2.76
Tl8 0.9405 0.8444 0.6888  4 Te 3.34-3.47
Tl9 0.1348 0.0489 0.5244  5 Te 3.38-3.72
Tl10 0.6348 0.5244 0.4756  5 Te 3.38-3.72
Te7 0.9043 0.6667 0.3333  1 Mn 2.74
Tl11 0.1348 0.4756 0.9511  5 Te 3.38-3.72
Tl12 0.4405 0.1556 0.8444  4 Te 3.34-3.47
Te8 0.8663 0.1955 0.3909  1 Mn 2.76

***

15.
An optimized crystal structure of Ag2Sb, computed with GGA-PBE.

Calculated values
electronic total energy: -9.34 eV for the cell shown
D(E_F): 0.335 states/eV/atom
uncorrected formation energy: 163 meV/atom

Cell: 4.4985 4.4985 3.6409 Å, 90.00 90.00 90.00°
With the nearest neighbours (Å) after each atom.
Atoms (fractional coordinates):
Ag1 0.0000 0.5000 0.0000  4 Sb 2.89, 4 Ag 3.18
Sb1 0.0000 0.0000 0.5000  8 Ag 2.89
Ag2 0.5000 0.0000 0.0000  4 Sb 2.89, 4 Ag 3.18

***

16.
An optimized crystal structure of Pr2ThTc, computed with GGA-PBE.

Calculated values
electronic total energy: -24.50 eV for the cell shown
energy of formation from the pure elements: 0.711 eV/atom
D(E_F): 1.758 states/eV/atom

Cell: 3.4629 3.4629 11.3561 Å, 81.23 81.23 60.00°
With the nearest neighbours (Å) after each atom.
Atoms (fractional coordinates):
Tc1 0.0000 0.0000 0.0000  2 Pr 2.56
Th1 0.5000 0.5000 0.5000  6 Th 3.46, 6 Pr 3.63
Pr1 0.0764 0.0764 0.7707  1 Tc 2.56
Pr2 0.9236 0.9236 0.2293  1 Tc 2.56

***

17.
An optimized crystal structure of Hf2V15Sn2, computed with GGA-PBE.

Calculated values
electronic total energy: -162.47 eV for the cell shown
energy of formation from the pure elements: 0.117 eV/atom
D(E_F): 1.468 states/eV/atom

Cell: 6.6901 6.6901 6.6901 Å, 85.64 85.64 85.64°
With the nearest neighbours (Å) after each atom.
Atoms (fractional coordinates):
V1 0.5000 0.0000 0.0000  8 V 2.52-2.67, 2 Sn 2.71
V2 0.3541 0.3541 0.8388  8 V 2.53-2.69
V3 0.0000 0.3144 0.6856  6 V 2.52-2.69
V4 0.6459 0.6459 0.1612  8 V 2.53-2.69
V5 0.3144 0.6856 0.0000  6 V 2.52-2.69
V6 0.6856 0.0000 0.3144  6 V 2.52-2.69
V7 0.6459 0.1612 0.6459  8 V 2.53-2.69
V8 0.8388 0.3541 0.3541  8 V 2.53-2.69
V9 0.6856 0.3144 0.0000  6 V 2.52-2.69
V10 0.1612 0.6459 0.6459  8 V 2.53-2.69
V11 0.0000 0.6856 0.3144  6 V 2.52-2.69
Sn1 0.8861 0.8861 0.8861  6 V 2.71-2.84, 1 Sn 2.83
V12 0.3144 0.0000 0.6856  6 V 2.52-2.69
Hf1 0.3582 0.3582 0.3582  12 V 2.99-3.21, 1 Sn 3.04
Sn2 0.1139 0.1139 0.1139  6 V 2.71-2.84, 1 Sn 2.83
V13 0.3541 0.8388 0.3541  8 V 2.53-2.69
Hf2 0.6418 0.6418 0.6418  12 V 2.99-3.21, 1 Sn 3.04
V14 0.0000 0.5000 0.0000  8 V 2.52-2.67, 2 Sn 2.71
V15 0.0000 0.0000 0.5000  8 V 2.52-2.67, 2 Sn 2.71

***

18.
An optimized crystal structure of La2Ge4PtAu3, computed with GGA-PBE.

Calculated values
electronic total energy: -50.94 eV for the cell shown
energy of formation from the pure elements: -0.675 eV/atom
D(E_F): 0.505 states/eV/atom

Cell: 4.4703 4.4703 10.6024 Å, 90.00 90.00 90.00°
With the nearest neighbours (Å) after each atom.
Atoms (fractional coordinates):
La1 0.0000 0.5000 0.7411  8 Ge 3.38-3.54, 6 Au 3.40-3.43, 2 Pt 3.40
Pt1 0.5000 0.5000 0.5000  4 Ge 2.61
Ge1 0.0000 0.5000 0.3730  3 Au 2.53-2.61, 2 Pt 2.61
Au1 0.5000 0.0000 0.8661  5 Ge 2.53-2.65
Ge2 0.5000 0.5000 0.0000  4 Au 2.65
La2 0.5000 0.0000 0.2589  8 Ge 3.38-3.54, 2 Pt 3.40, 6 Au 3.40-3.43
Ge3 0.5000 0.0000 0.6270  3 Au 2.53-2.61, 2 Pt 2.61
Au2 0.0000 0.5000 0.1339  5 Ge 2.53-2.65
Ge4 0.0000 0.0000 0.0000  4 Au 2.65
Au3 0.0000 0.0000 0.5000  4 Ge 2.61

***

19.
An optimized crystal structure of Pr3Mg2Ga4, computed with GGA-PBE.

Calculated values
electronic total energy: -34.03 eV for the cell shown
energy of formation from the pure elements: -0.489 eV/atom
D(E_F): 0.676 states/eV/atom

Cell: 4.5804 6.1244 9.1400 Å, 68.76 75.49 68.04°
With the nearest neighbours (Å) after each atom.
Atoms (fractional coordinates):
Ga1 0.2876 0.3757 0.0491  2 Ga 2.69, 1 Mg 2.75
Pr1 0.3570 0.5997 0.6864  7 Ga 3.08-3.31, 4 Mg 3.26-3.36
Mg1 0.6549 0.0133 0.6769  3 Ga 2.70-2.75
Pr2 0.0000 0.0000 0.0000  8 Ga 3.25-3.50
Pr3 0.6430 0.4003 0.3136  7 Ga 3.08-3.31, 4 Mg 3.26-3.36
Mg2 0.3451 0.9867 0.3231  3 Ga 2.70-2.75
Ga2 0.7124 0.6243 0.9509  2 Ga 2.69, 1 Mg 2.75
Ga3 0.0720 0.2675 0.5886  1 Ga 2.64, 2 Mg 2.70
Ga4 0.9280 0.7325 0.4114  1 Ga 2.64, 2 Mg 2.70

***

20.
An optimized crystal structure of SnPtF3, computed with GGA-PBE.

Calculated values
electronic total energy: -19.87 eV for the cell shown
D(E_F): 0.412 states/eV/atom
uncorrected formation energy: -843 meV/atom

Cell: 4.4036 4.4036 4.4036 Å, 90.00 90.00 90.00°
With the nearest neighbours (Å) after each atom.
Atoms (fractional coordinates):
Pt1 0.0000 0.0000 0.0000  6 F 2.20
F1 0.5000 0.0000 0.0000  2 Pt 2.20
F2 0.0000 0.5000 0.0000  2 Pt 2.20
Sn1 0.5000 0.5000 0.5000  12 F 3.11
F3 0.0000 0.0000 0.5000  2 Pt 2.20